# 1
A plane-wave DFT calculation with PBE-GGA was carried out for crystalline CsAs2Pt4 at its relaxed geometry.

abc: 4.051 19.242 4.000
angles: 90.00 90.00 90.00
Space group Cmmm (No. 65)
Symmetry-distinct sites (fractional):
Cs (0.000, 0.000, 0.000) [2 per cell]
As (0.000, 0.380, 0.500) [4 per cell]
Pt (0.000, 0.196, 0.500) [4 per cell]
Pt (0.000, 0.306, 0.000) [4 per cell]

As for the energy of formation: -0.400 eV/atom. The density of states at the Fermi level comes out at 2.4 states/eV/f.u. As for the total magnetic moment: 0.00 μB per formula unit.

---

# 2
A plane-wave DFT calculation with PBE-GGA was carried out for crystalline InHgPbBr at its relaxed geometry.

abc: 7.709 7.709 7.709
angles: 90.00 90.00 90.00
Space group F-43m (No. 216)
Symmetry-distinct sites (fractional):
In (0.000, 0.000, 0.000) [4 per cell]
Hg (0.250, 0.250, 0.250) [4 per cell]
Pb (0.000, 0.000, 0.500) [4 per cell]
Br (0.250, 0.250, 0.750) [4 per cell]

The calculation puts the formation energy from raw total energies at -0.33 eV per formula unit. The density of states at the Fermi level comes out at 3.2 states/eV/f.u. As for the total magnetic moment: 0.00 μB per formula unit.

---

# 3
A plane-wave DFT calculation with PBE-GGA was carried out for crystalline Pm3Pr8Sm2 at its relaxed geometry.

abc: 20.833 7.775 5.854
angles: 90.00 90.04 90.00
Space group C2/m (No. 12)
Symmetry-distinct sites (fractional):
Pm (0.000, 0.000, 0.000) [2 per cell]
Pm (0.000, 0.286, 0.500) [4 per cell]
Pr (0.106, 0.293, 0.000) [8 per cell]
Pr (0.134, 0.000, 0.499) [4 per cell]
Pr (0.173, 0.500, 0.501) [4 per cell]
Sm (0.241, 0.000, 0.998) [4 per cell]

As for the energy of formation: 0.201 eV/atom. Its energy above the most stable polymorph in this dataset is 0.0510 eV/atom. The density of states at the Fermi level comes out at 19.5 states/eV/f.u. As for the total magnetic moment: 0.00 μB per formula unit.

---

# 4
A plane-wave DFT calculation with PBE-GGA was carried out for crystalline NaEuNbInO6 at its relaxed geometry.

abc: 8.226 8.226 8.226
angles: 90.00 90.00 90.00
Space group F-43m (No. 216)
Symmetry-distinct sites (fractional):
Na (0.000, 0.000, 0.000) [4 per cell]
Eu (0.000, 0.000, 0.500) [4 per cell]
Nb (0.250, 0.250, 0.750) [4 per cell]
In (0.250, 0.250, 0.250) [4 per cell]
O (0.008, 0.250, 0.750) [24 per cell]

The calculation puts the formation energy from raw total energies at -21.23 eV per formula unit. The density of states at the Fermi level comes out at 12.4 states/eV/f.u. As for the total magnetic moment: 5.96 μB per formula unit.

---

# 5
A plane-wave DFT calculation with PBE-GGA was carried out for crystalline Er2OsC at its relaxed geometry.

abc: 3.3424 3.3424 24.3181
angles: 90.00 90.00 120.00
Space group R-3m (No. 166, hexagonal axes)
Symmetry-distinct sites (fractional):
Er (0.0000, 0.0000, 0.1102) [6 per cell]
Os (0.0000, 0.0000, 0.0000) [3 per cell]
C (0.0000, 0.0000, 0.5000) [3 per cell]

As for the energy of formation: 0.518 eV/atom. The density of states at the Fermi level comes out at 2.7 states/eV/f.u. As for the total magnetic moment: 0.45 μB per formula unit.

---

# 6
A plane-wave DFT calculation with PBE-GGA was carried out for crystalline Al3Sn at its relaxed geometry.

abc: 3.182 4.366 5.884
angles: 90.00 90.00 90.00
Space group Pmm2 (No. 25)
Symmetry-distinct sites (fractional):
Al (0.000, 0.000, 0.000) [1 per cell]
Al (0.000, 0.500, 0.288) [1 per cell]
Al (0.500, 0.000, 0.408) [1 per cell]
Sn (0.500, 0.500, 0.757) [1 per cell]

As for the energy of formation: 0.176 eV/atom. The density of states at the Fermi level comes out at 1.8 states/eV/f.u. As for the total magnetic moment: 0.00 μB per formula unit.

---

# 7
A plane-wave DFT calculation with PBE-GGA was carried out for crystalline SrBiAs2Pd4 at its relaxed geometry.

abc: 4.519 4.519 8.226
angles: 90.00 90.00 90.00
Space group P4/mmm (No. 123)
Symmetry-distinct sites (fractional):
Sr (0.000, 0.000, 0.000) [1 per cell]
Bi (0.000, 0.000, 0.500) [1 per cell]
As (0.500, 0.500, 0.157) [2 per cell]
Pd (0.000, 0.500, 0.297) [4 per cell]

As for the energy of formation: -0.540 eV/atom. The density of states at the Fermi level comes out at 4.2 states/eV/f.u. As for the total magnetic moment: 0.00 μB per formula unit.

---

# 8
A plane-wave DFT calculation with PBE-GGA was carried out for crystalline NaSI2O at its relaxed geometry.

abc: 5.692 5.692 4.097
angles: 90.00 90.00 90.00
Space group P4/mmm (No. 123)
Symmetry-distinct sites (fractional):
Na (0.000, 0.000, 0.000) [1 per cell]
S (0.500, 0.500, 0.500) [1 per cell]
I (0.000, 0.500, 0.000) [2 per cell]
O (0.000, 0.000, 0.500) [1 per cell]

The calculation puts the formation energy from raw total energies at 3.35 eV per formula unit. Its energy above the most stable polymorph in this dataset is 0.9624 eV/atom. The density of states at the Fermi level comes out at 9.5 states/eV/f.u. As for the total magnetic moment: 0.00 μB per formula unit.